{"formula": "Pm3Pr4Sc2", "functional": "PBE", "state": "optimized geometry", "polymorph_energy_mev_per_atom": 0, "dos_ef_per_ev_cell": 16.6, "ef_kj_per_mol_fu": 94, "sg": "No. 156", "vol_a3_per_cell": 298.69, "final_energy_ev_per_atom": -5.01, "lattice_angstrom": [[-1.770, 0.662, -3.052], [0.012, -3.311, 1.386], [-22.039, 5.800, 14.044]], "species": ["Pr", "Pr", "Pr", "Pr", "Sc", "Sc", "Pm", "Pm", "Pm"], "fractional_positions": [[0.000, 0.000, 0.547], [0.000, 0.000, 0.777], [0.667, 0.333, 0.204], [0.667, 0.333, 0.430], [0.667, 0.333, 0.082], [0.667, 0.333, 0.879], [0.667, 0.333, 0.660], [0.000, 0.000, 0.315], [0.000, 0.000, 0.982]]}

=====

{"formula": "Cr2CdPt", "functional": "PBE", "state": "optimized geometry", "dos_ef_per_ev_cell": 2.1, "ef_kj_per_mol_fu": 42, "sg": "No. 216", "vol_a3_per_cell": 64.38, "final_energy_ev_per_atom": -6.44, "lattice_angstrom": [[-1.459, 3.683, 2.132], [-3.330, 2.453, -1.769], [-4.058, 0.016, 1.942]], "species": ["Cr", "Cr", "Cd", "Pt"], "fractional_positions": [[0.250, 0.250, 0.250], [0.000, 0.000, 0.000], [0.500, 0.500, 0.500], [0.750, 0.750, 0.750]]}

=====

{"formula": "TlAs2Se4", "functional": "PBE", "state": "optimized geometry", "raw_formation_energy_ev_per_fu": -0.59, "polymorph_energy_mev_per_atom": 30, "dos_ef_per_ev_cell": 9.1, "sg": "No. 63", "vol_a3_per_cell": 348.10, "final_energy_ev_per_atom": -3.74, "lattice_angstrom": [[-2.177, 0.595, 3.162], [1.547, -6.598, -0.081], [11.388, 2.580, 7.354]], "species": ["Tl", "Tl", "As", "As", "As", "As", "Se", "Se", "Se", "Se", "Se", "Se", "Se", "Se"], "fractional_positions": [[0.585, 0.171, 0.750], [0.415, 0.829, 0.250], [0.139, 0.279, 0.441], [0.139, 0.279, 0.059], [0.861, 0.721, 0.559], [0.861, 0.721, 0.941], [0.077, 0.153, 0.250], [0.769, 0.538, 0.388], [0.231, 0.462, 0.612], [0.231, 0.462, 0.888], [0.500, 0.000, 0.000], [0.500, 0.000, 0.500], [0.923, 0.847, 0.750], [0.769, 0.538, 0.112]]}

=====

{"formula": "NdZnGaPd2", "functional": "PBE", "state": "optimized geometry", "dos_ef_per_ev_cell": 5.1, "ef_kj_per_mol_fu": -259, "sg": "No. 67", "vol_a3_per_cell": 200.25, "final_energy_ev_per_atom": -4.43, "lattice_angstrom": [[-4.951, 1.891, -2.138], [-2.483, -4.344, 1.909], [0.028, 5.327, 4.647]], "species": ["Zn", "Zn", "Ga", "Ga", "Nd", "Nd", "Pd", "Pd", "Pd", "Pd"], "fractional_positions": [[0.000, 0.000, 0.000], [0.000, 0.500, 0.000], [0.500, 0.750, 0.000], [0.500, 0.250, 0.000], [0.771, 0.250, 0.500], [0.229, 0.750, 0.500], [0.294, 0.144, 0.288], [0.294, 0.356, 0.712], [0.706, 0.856, 0.712], [0.706, 0.644, 0.288]]}

=====

{"formula": "Li2Sn2Rh", "functional": "PBE", "state": "optimized geometry", "dos_ef_per_ev_cell": 2.7, "ef_kj_per_mol_fu": -171, "sg": "No. 12", "vol_a3_per_cell": 179.63, "final_energy_ev_per_atom": -4.19, "lattice_angstrom": [[4.556, 0.000, 0.000], [2.278, 4.996, 0.352], [2.278, 1.377, 7.989]], "species": ["Li", "Li", "Li", "Li", "Rh", "Rh", "Sn", "Sn", "Sn", "Sn"], "fractional_positions": [[0.351, 0.219, 0.079], [0.649, 0.781, 0.921], [0.474, 0.706, 0.345], [0.526, 0.294, 0.655], [0.220, 0.827, 0.733], [0.780, 0.173, 0.267], [0.836, 0.766, 0.562], [0.164, 0.234, 0.438], [0.930, 0.264, 0.876], [0.070, 0.736, 0.124]]}

=====

{"formula": "Sm6Te3H", "functional": "PBE", "state": "optimized geometry", "dos_ef_per_ev_cell": 15.6, "sg": "No. 36", "vol_a3_per_cell": 597.91, "final_energy_ev_per_atom": -4.90, "lattice_angstrom": [[6.820, 0.000, 0.000], [0.000, 9.412, 0.342], [0.000, -1.767, 9.251]], "species": ["Sm", "Sm", "Sm", "Sm", "Sm", "Sm", "Sm", "Sm", "Sm", "Sm", "Sm", "Sm", "Te", "Te", "Te", "Te", "Te", "Te", "H", "H"], "fractional_positions": [[0.691, 0.551, 0.096], [0.181, 0.373, 0.285], [0.691, 0.904, 0.449], [0.220, 0.764, 0.236], [0.191, 0.096, 0.551], [0.181, 0.715, 0.627], [0.720, 0.236, 0.764], [0.611, 0.935, 0.065], [0.111, 0.065, 0.935], [0.681, 0.285, 0.373], [0.681, 0.627, 0.715], [0.191, 0.449, 0.904], [0.983, 0.749, 0.942], [0.483, 0.251, 0.058], [0.483, 0.942, 0.749], [0.877, 0.600, 0.400], [0.377, 0.400, 0.600], [0.983, 0.058, 0.251], [0.569, 0.777, 0.223], [0.069, 0.223, 0.777]]}

=====

{"formula": "Mg2CdCoC", "functional": "PBE", "state": "optimized geometry", "polymorph_energy_mev_per_atom": 341, "dos_ef_per_ev_cell": 1.5, "ef_kj_per_mol_fu": 205, "sg": "No. 123", "vol_a3_per_cell": 89.16, "final_energy_ev_per_atom": -3.66, "lattice_angstrom": [[4.982, 0.000, 0.000], [0.000, 3.592, 0.000], [0.000, 0.000, 4.982]], "species": ["Co", "Mg", "Mg", "Cd", "C"], "fractional_positions": [[0.000, 0.000, 0.000], [0.500, 0.000, 0.000], [0.000, 0.000, 0.500], [0.500, 0.500, 0.500], [0.000, 0.500, 0.000]]}

=====

{"formula": "LaZrCu", "functional": "PBE", "state": "optimized geometry", "polymorph_energy_mev_per_atom": 43, "dos_ef_per_ev_cell": 8.8, "ef_kj_per_mol_fu": -2, "sg": "No. 2", "vol_a3_per_cell": 144.51, "final_energy_ev_per_atom": -5.86, "lattice_angstrom": [[4.795, -0.002, -0.003], [0.002, 3.579, -0.005], [-2.408, -1.770, 8.423]], "species": ["La", "La", "Cu", "Cu", "Zr", "Zr"], "fractional_positions": [[0.825, 0.277, 0.358], [0.178, 0.628, 0.065], [0.626, 0.078, 0.962], [0.376, 0.827, 0.460], [0.002, 0.952, 0.712], [0.502, 0.452, 0.711]]}

=====

{"formula": "ZnRe3Ag", "functional": "PBE", "state": "optimized geometry", "polymorph_energy_mev_per_atom": 0, "dos_ef_per_ev_cell": 6.2, "ef_kj_per_mol_fu": 1059, "sg": "No. 221", "vol_a3_per_cell": 91.17, "final_energy_ev_per_atom": -6.10, "lattice_angstrom": [[-1.937, 4.062, -0.069], [-3.173, -1.560, -2.784], [-2.537, -1.150, 3.535]], "species": ["Re", "Re", "Re", "Ag", "Zn"], "fractional_positions": [[0.500, 0.000, 0.000], [0.000, 0.000, 0.500], [0.000, 0.500, 0.000], [0.500, 0.500, 0.500], [0.000, 0.000, 0.000]]}

=====

{"formula": "MgTcIr3", "functional": "PBE", "state": "optimized geometry", "polymorph_energy_mev_per_atom": 0, "dos_ef_per_ev_cell": 4.7, "ef_kj_per_mol_fu": 606, "sg": "No. 221", "vol_a3_per_cell": 104.87, "final_energy_ev_per_atom": -6.45, "lattice_angstrom": [[-2.470, -3.260, 2.347], [4.017, -2.003, 1.444], [-0.001, 2.756, 3.826]], "species": ["Tc", "Mg", "Ir", "Ir", "Ir"], "fractional_positions": [[0.000, 0.000, 0.000], [0.500, 0.500, 0.500], [0.000, 0.000, 0.500], [0.500, 0.000, 0.000], [0.000, 0.500, 0.000]]}

=====

{"formula": "Ta4FeW", "functional": "PBE", "state": "optimized geometry", "polymorph_energy_mev_per_atom": 0, "dos_ef_per_ev_cell": 5.5, "ef_kj_per_mol_fu": 274, "sg": "No. 12", "vol_a3_per_cell": 114.71, "final_energy_ev_per_atom": -11.00, "lattice_angstrom": [[-1.904, 2.506, 3.000], [-4.266, -0.415, 0.790], [-0.703, -4.114, 6.141]], "species": ["W", "Ta", "Ta", "Ta", "Ta", "Fe"], "fractional_positions": [[0.500, 0.500, 0.500], [0.630, 0.630, 0.110], [0.120, 0.119, 0.640], [0.880, 0.881, 0.360], [0.370, 0.370, 0.890], [0.000, 0.000, 0.000]]}

=====

{"formula": "GdHoTh", "functional": "PBE", "state": "optimized geometry", "polymorph_energy_mev_per_atom": 2, "dos_ef_per_ev_cell": 4.1, "ef_kj_per_mol_fu": 7, "sg": "No. 107", "vol_a3_per_cell": 95.99, "final_energy_ev_per_atom": -8.67, "lattice_angstrom": [[3.581, 0.000, 0.000], [0.000, 3.581, 0.000], [-1.790, -1.790, 7.486]], "species": ["Th", "Gd", "Ho"], "fractional_positions": [[0.333, 0.333, 0.665], [0.994, 0.994, 0.988], [0.673, 0.673, 0.347]]}

=====

{"formula": "Be4Ir3Au", "functional": "PBE", "state": "optimized geometry", "dos_ef_per_ev_cell": 3.8, "ef_kj_per_mol_fu": -391, "sg": "No. 123", "vol_a3_per_cell": 92.41, "final_energy_ev_per_atom": -6.10, "lattice_angstrom": [[-2.739, -0.177, 0.807], [-0.599, -1.497, -2.363], [2.246, -9.597, 5.512]], "species": ["Be", "Be", "Be", "Be", "Ir", "Ir", "Ir", "Au"], "fractional_positions": [[0.000, 0.000, 0.152], [0.000, 0.000, 0.621], [0.000, 0.000, 0.379], [0.000, 0.000, 0.848], [0.500, 0.500, 0.254], [0.500, 0.500, 0.500], [0.500, 0.500, 0.746], [0.500, 0.500, 0.000]]}